No. 1
Here is crystalline PbSe2N at its relaxed geometry from Alexandria via LeMat-Bulk. Energies are from PBE.

It has space group Fm-3m (No. 225), with a = 7.0471 Å, b = 7.0471 Å, c = 7.0471 Å, α = 90.00°, β = 90.00° and γ = 90.00°. The inequivalent atoms are Pb at (0.0000, 0.0000, 0.0000), Se at (0.2500, 0.2500, 0.2500) and N at (0.0000, 0.0000, 0.5000).

For the uncorrected formation energy, the calculation gives 29.6 kcal/mol of atoms. The energy above the most stable polymorph in this dataset is 15.49 kcal/mol of atoms.

---

No. 2
Here is crystalline Sm2Ho4Mg at its relaxed geometry from Alexandria via LeMat-Bulk. Energies are from PBE.

It has space group P2_1/c (No. 14), with a = 6.2567 Å, b = 12.3806 Å, c = 6.4474 Å, α = 90.00°, β = 116.61° and γ = 90.00°. The inequivalent atoms are Sm at (0.2011, 0.0632, 0.4205), Ho at (0.0734, 0.1682, 0.8583), Ho at (0.4162, 0.7253, 0.1759) and Mg at (0.5000, 0.0000, 0.0000).

The energy above the most stable polymorph in this dataset is 1.43 kcal/mol of atoms. The calculation puts the formation energy at 162.3 meV per atom.

---

No. 3
Here is crystalline Li3Dy at its relaxed geometry from Alexandria via LeMat-Bulk. Energies are from PBE.

It has space group Pmm2 (No. 25), with a = 3.1858 Å, b = 5.2622 Å, c = 5.6095 Å, α = 90.00°, β = 90.00° and γ = 90.00°. The inequivalent atoms are Li at (0.0000, 0.0000, 0.0000), Li at (0.0000, 0.5000, 0.2945), Li at (0.5000, 0.0000, 0.4549) and Dy at (0.5000, 0.5000, 0.7974).

The energy above the most stable polymorph in this dataset is 2.79 kcal/mol of atoms. The calculation puts the formation energy at 167.3 meV per atom.

---

No. 4
Here is crystalline TbCeHfSc at its relaxed geometry from Alexandria via LeMat-Bulk. Energies are from PBE.

It has space group F-43m (No. 216), with a = 7.5118 Å, b = 7.5118 Å, c = 7.5118 Å, α = 90.00°, β = 90.00° and γ = 90.00°. The inequivalent atoms are Tb at (0.0000, 0.0000, 0.0000), Ce at (0.0000, 0.0000, 0.5000), Hf at (0.2500, 0.2500, 0.2500) and Sc at (0.2500, 0.2500, 0.7500).

The calculation puts the formation energy at 200.1 meV per atom.

---

No. 5
Here is crystalline Sr3TlPd2 at its relaxed geometry from Alexandria via LeMat-Bulk. Energies are from PBE.

It has space group Cmce (No. 64), with a = 9.8628 Å, b = 15.0879 Å, c = 10.5615 Å, α = 90.00°, β = 90.00° and γ = 90.00°. The inequivalent atoms are Sr at (0.0000, 0.1652, 0.2261), Sr at (0.2145, 0.1248, 0.5396), Tl at (0.0000, 0.0597, 0.8056), Pd at (0.0000, 0.2213, 0.9561) and Pd at (0.2500, 0.0269, 0.2500).

The calculation puts the formation energy at -462.7 meV per atom.

---

No. 6
Here is crystalline Pa2NiAg2S6 at its relaxed geometry from Alexandria via LeMat-Bulk. Energies are from PBE.

It has space group C2/m (No. 12), with a = 6.5363 Å, b = 12.0663 Å, c = 6.5991 Å, α = 90.00°, β = 111.76° and γ = 90.00°. The inequivalent atoms are Pa at (0.0000, 0.1614, 0.0000), Ni at (0.0000, 0.5000, 0.0000), Ag at (0.0000, 0.3181, 0.5000), S at (0.2156, 0.5000, 0.7833) and S at (0.2428, 0.3326, 0.2291).

For the uncorrected formation energy, the calculation gives -20.2 kcal/mol of atoms.